Entry 1:
The following is a DFT calculation (PBE) of MgReTc2 after structural relaxation.

Cell: 5.159 5.159 2.684 Å, 79.42 79.42 115.70°
Atoms (fractional coordinates):
Mg 0.500 0.000 0.500
Re 0.000 0.500 0.500
Tc 0.000 0.000 0.000
Tc 0.500 0.500 0.000

crystal system	monoclinic
size of the total moment	0.000	Bohr magnetons per cell
uncorrected energy	-33.8	eV per cell
SG	C2/m (12)

---

Entry 2:
The following is a DFT calculation (PBE) of NdMg11 after structural relaxation.

Cell: 7.906 9.466 9.466 Å, 79.96 65.32 65.32°
Atoms (fractional coordinates):
Nd 0.500 0.000 0.000
Nd 0.250 0.500 0.500
Mg 0.428 0.827 0.417
Mg 0.672 0.173 0.583
Mg 0.000 0.000 0.000
Mg 0.750 0.500 0.500
Mg 0.375 0.750 0.750
Mg 0.875 0.750 0.250
Mg 0.875 0.250 0.750
Mg 0.875 0.250 0.250
Mg 0.428 0.417 0.827
Mg 0.005 0.673 0.917
Mg 0.595 0.327 0.083
Mg 0.672 0.583 0.173
Mg 0.745 0.583 0.827
Mg 0.155 0.417 0.173
Mg 0.078 0.327 0.917
Mg 0.322 0.673 0.083
Mg 0.322 0.083 0.673
Mg 0.745 0.827 0.583
Mg 0.155 0.173 0.417
Mg 0.078 0.917 0.327
Mg 0.005 0.917 0.673
Mg 0.595 0.083 0.327

crystal system	tetragonal
size of the total moment	0.000	Bohr magnetons per cell
uncorrected energy	-44.9	eV per cell
SG	I4_1/amd (141)

---

Entry 3:
The following is a DFT calculation (PBE) of Na2AgOsCl8 after structural relaxation.

Cell: 6.319 6.068 8.471 Å, 90.00 90.00 96.05°
Site moments in Bohr magnetons follow the coordinates.
Atoms (fractional coordinates):
Na 0.500 0.500 0.742  0.00
Na 0.500 0.500 0.258  0.00
Ag 0.000 0.000 0.500  0.07
Os 0.000 0.000 0.000  1.61
Cl 0.136 0.790 0.198  0.10
Cl 0.682 0.762 0.000  0.07
Cl 0.864 0.210 0.198  0.10
Cl 0.864 0.210 0.802  0.10
Cl 0.318 0.238 0.000  0.07
Cl 0.136 0.790 0.802  0.10
Cl 0.689 0.735 0.500  0.03
Cl 0.311 0.265 0.500  0.03

uncorrected formation energy	-0.856	eV/atom
crystal system	monoclinic
size of the total moment	2.622	Bohr magnetons per cell
uncorrected energy	-41.8	eV per cell
SG	P2/m (10)

---

Entry 4:
The following is a DFT calculation (PBE) of Pm5CoRh4 after structural relaxation.

Cell: 3.513 3.513 17.462 Å, 90.00 90.00 90.00°
Site moments in Bohr magnetons follow the coordinates.
Atoms (fractional coordinates):
Pm 0.500 0.500 0.098  -0.10
Pm 0.500 0.500 0.298  0.00
Pm 0.500 0.500 0.500  0.00
Pm 0.500 0.500 0.702  0.00
Pm 0.500 0.500 0.902  -0.10
Co 0.000 0.000 0.000  1.02
Rh 0.000 0.000 0.199  0.06
Rh 0.000 0.000 0.399  0.07
Rh 0.000 0.000 0.601  0.07
Rh 0.000 0.000 0.801  0.06

crystal system	tetragonal
size of the total moment	0.893	Bohr magnetons per cell
uncorrected energy	-65.6	eV per cell
SG	P4/mmm (123)

---

Entry 5:
The following is a DFT calculation (PBE) of RbSiBiAu2 after structural relaxation.

Cell: 5.570 5.545 5.570 Å, 90.00 90.00 90.00°
Atoms (fractional coordinates):
Si 0.000 0.500 0.000
Au 0.000 0.000 0.500
Au 0.500 0.000 0.000
Bi 0.500 0.500 0.500
Rb 0.000 0.000 0.000

uncorrected formation energy	1.493	eV/atom
crystal system	tetragonal
size of the total moment	0.000	Bohr magnetons per cell
uncorrected energy	-9.4	eV per cell
SG	P4/mmm (123)

---

Entry 6:
The following is a DFT calculation (PBE) of LiThMnGe2 after structural relaxation.

Cell: 4.155 4.155 6.151 Å, 109.74 109.74 90.00°
Site moments in Bohr magnetons follow the coordinates.
Atoms (fractional coordinates):
Li 0.250 0.750 0.500  -0.02
Th 0.000 0.000 0.000  0.00
Mn 0.750 0.250 0.500  3.19
Ge 0.619 0.619 0.239  -0.05
Ge 0.381 0.381 0.761  -0.05

crystal system	tetragonal
size of the total moment	3.242	Bohr magnetons per cell
uncorrected energy	-30.2	eV per cell
SG	I-4m2 (119)

---

Entry 7:
The following is a DFT calculation (PBE) of Pr8Ho2Sc after structural relaxation.

Cell: 5.778 8.005 9.609 Å, 114.62 107.50 90.00°
Atoms (fractional coordinates):
Pr 0.631 0.839 0.262
Pr 0.369 0.578 0.738
Pr 0.169 0.169 0.338
Pr 0.000 0.280 0.000
Pr 0.831 0.831 0.662
Pr 0.631 0.422 0.262
Pr 0.369 0.161 0.738
Pr 0.000 0.720 0.000
Ho 0.199 0.699 0.398
Ho 0.801 0.301 0.602
Sc 0.500 0.000 0.000

crystal system	orthorhombic
ΔE to the lowest computed polymorph	0	meV/atom
size of the total moment	0.000	Bohr magnetons per cell
uncorrected energy	-52.5	eV per cell
SG	Immm (71)

---

Entry 8:
The following is a DFT calculation (PBE) of AlTc2Os after structural relaxation.

Cell: 8.775 8.775 8.775 Å, 18.27 18.27 18.27°
Atoms (fractional coordinates):
Os 0.750 0.750 0.750
Tc 0.999 0.999 0.999
Tc 0.251 0.251 0.251
Al 0.500 0.500 0.500

crystal system	trigonal
size of the total moment	0.000	Bohr magnetons per cell
uncorrected energy	-36.0	eV per cell
SG	R3m (160)

---

Entry 9:
The following is a DFT calculation (PBE) of CaZnOs after structural relaxation.

Cell: 5.563 5.563 5.563 Å, 144.56 144.40 51.11°
Atoms (fractional coordinates):
Zn 0.711 0.711 0.000
Os 0.294 0.294 0.000
Ca 0.995 0.995 0.000

crystal system	orthorhombic
size of the total moment	0.000	Bohr magnetons per cell
uncorrected energy	-13.8	eV per cell
SG	Imm2 (44)

---

Entry 10:
The following is a DFT calculation (PBE) of SrSi2Au after structural relaxation.

Cell: 4.242 4.242 6.223 Å, 71.28 71.28 58.12°
Atoms (fractional coordinates):
Au 0.250 0.250 0.250
Si 0.969 0.969 0.103
Si 0.531 0.531 0.397
Sr 0.750 0.750 0.750

uncorrected formation energy	-0.326	eV/atom
crystal system	monoclinic
size of the total moment	0.000	Bohr magnetons per cell
uncorrected energy	-17.1	eV per cell
SG	C2/m (12)

---

Entry 11:
The following is a DFT calculation (PBE) of SrTm2Ir after structural relaxation.

Cell: 4.117 4.117 9.663 Å, 77.70 77.70 60.00°
Atoms (fractional coordinates):
Sr 0.500 0.500 0.500
Ir 0.000 0.000 0.000
Tm 0.285 0.285 0.144
Tm 0.715 0.715 0.856

crystal system	trigonal
size of the total moment	0.000	Bohr magnetons per cell
uncorrected energy	-21.2	eV per cell
SG	R-3m (166)

---

Entry 12:
The following is a DFT calculation (PBE) of Mo2SeS3 after structural relaxation.

Cell: 3.221 3.221 28.406 Å, 90.00 90.00 120.00°
Atoms (fractional coordinates):
Mo 0.000 0.000 0.999
Mo 0.000 0.000 0.503
Mo 0.333 0.667 0.246
Mo 0.333 0.667 0.755
Se 0.333 0.667 0.443
Se 0.333 0.667 0.563
S 0.000 0.000 0.301
S 0.000 0.000 0.809
S 0.333 0.667 0.945
S 0.333 0.667 0.054
S 0.000 0.000 0.191
S 0.000 0.000 0.700

uncorrected formation energy	-0.818	eV/atom
crystal system	trigonal
ΔE to the lowest computed polymorph	2	meV/atom
size of the total moment	0.000	Bohr magnetons per cell
uncorrected energy	-84.9	eV per cell
SG	P3m1 (156)

---

Number 1: ρ 11.2 g cm⁻³. Number 2: ρ 2.3 g cm⁻³. Number 3: ρ 3.2 g cm⁻³. Number 4: ρ 9.2 g cm⁻³. Number 5: ρ 6.9 g cm⁻³. Number 6: ρ 7.8 g cm⁻³. Number 7: ρ 6.5 g cm⁻³. Number 8: ρ 11.8 g cm⁻³. Number 9: ρ 8.5 g cm⁻³. Number 10: ρ 6.4 g cm⁻³. Number 11: ρ 7.5 g cm⁻³. Number 12: ρ 4.8 g cm⁻³.